Entry 1:
Material: YEr2Tm3NiTe2
Method: DFT, PBE
State: optimized geometry

POSCAR file:
```
YEr2Tm3NiTe2
1.0
3.875 0.000 0.000
0.000 7.185 4.165
0.000 -7.185 4.165
Y Er Tm Ni Te
1 2 3 1 2
Cartesian
0.000 0.000 0.000 Y
0.000 -2.873 5.007 Er
0.000 2.873 5.007 Er
1.938 -1.707 2.358 Tm
1.938 1.707 2.358 Tm
1.938 0.000 5.305 Tm
0.000 0.000 3.353 Ni
1.938 -4.785 3.338 Te
1.938 4.785 3.338 Te
```

Computed properties:
Magnetic moment: 1.000 μB/cell
Crystal system: orthorhombic

---

Entry 2:
Material: Cu10Hg
Method: DFT, PBE
State: optimized geometry

POSCAR file:
```
Cu10Hg
1.0
3.995 -1.762 0.000
3.995 1.762 0.000
-0.098 0.000 30.200
Cu Hg
20 2
Cartesian
0.322 0.000 12.200 Cu
0.325 0.000 20.482 Cu
1.096 0.000 22.939 Cu
1.139 0.000 14.685 Cu
2.000 0.000 8.907 Cu
1.980 0.000 17.158 Cu
2.734 0.000 11.397 Cu
2.743 0.000 19.653 Cu
3.526 0.000 13.863 Cu
3.497 0.000 22.126 Cu
4.396 0.000 8.074 Cu
4.367 0.000 16.337 Cu
5.150 0.000 10.547 Cu
5.159 0.000 18.803 Cu
5.913 0.000 13.042 Cu
5.893 0.000 21.294 Cu
6.754 0.000 15.515 Cu
6.797 0.000 7.261 Cu
7.568 0.000 9.718 Cu
7.572 0.000 18.000 Cu
1.172 0.000 5.939 Hg
6.721 0.000 24.261 Hg
```

Computed properties:
ΔH_f (0 K): 0.089 eV/atom
Crystal system: monoclinic

---

Entry 3:
Material: Zn2As
Method: DFT, PBE
State: optimized geometry

POSCAR file:
```
Zn2As
1.0
7.721 0.000 0.000
0.000 4.954 0.000
-2.485 0.000 11.553
Zn As
16 8
Cartesian
-0.184 1.239 2.382 Zn
-0.908 3.716 6.507 Zn
-0.032 3.716 3.978 Zn
0.724 3.716 0.867 Zn
-0.958 1.239 9.611 Zn
0.138 1.239 6.800 Zn
0.727 3.716 11.520 Zn
2.362 3.716 4.830 Zn
2.874 1.239 6.724 Zn
4.509 1.239 0.033 Zn
5.098 3.716 4.753 Zn
6.194 3.716 1.942 Zn
4.512 1.239 10.687 Zn
5.268 1.239 7.576 Zn
6.143 1.239 5.047 Zn
5.420 3.716 9.171 Zn
1.726 1.239 0.610 As
0.351 3.716 8.764 As
1.371 1.239 4.547 As
1.467 1.239 8.916 As
3.768 3.716 2.637 As
3.865 3.716 7.006 As
4.885 1.239 2.789 As
3.510 3.716 10.943 As
```

Computed properties:
Crystal system: monoclinic
Distance to the lowest polymorph of the same formula: 0.0191 eV/atom

---

Entry 4:
Material: ZnCoReSi
Method: DFT, PBE
State: optimized geometry

POSCAR file:
```
ZnCoReSi
1.0
0.000 2.957 2.957
2.957 0.000 2.957
2.957 2.957 0.000
Zn Co Re Si
1 1 1 1
Cartesian
0.000 0.000 0.000 Zn
2.957 2.957 2.957 Co
4.435 4.435 4.435 Re
1.478 1.478 1.478 Si
```

Computed properties:
Magnetic moment: 1.439 μB/cell
Crystal system: cubic
Distance to the lowest polymorph of the same formula: 0.3843 eV/atom

---

Entry 5:
Material: Tb4Bi3Sb
Method: DFT, PBE
State: optimized geometry

POSCAR file:
```
Tb4Bi3Sb
1.0
6.306 0.000 0.000
0.000 6.306 0.000
0.000 0.000 6.306
Tb Bi Sb
4 3 1
Cartesian
0.000 0.000 0.000 Tb
0.000 3.153 3.153 Tb
3.153 0.000 3.153 Tb
3.153 3.153 0.000 Tb
0.000 0.000 3.153 Bi
0.000 3.153 0.000 Bi
3.153 0.000 0.000 Bi
3.153 3.153 3.153 Sb
```

Computed properties:
Magnetic moment: 0.000 μB/cell
Crystal system: cubic

---

Entry 6:
Material: HoGaAs
Method: DFT, PBE
State: optimized geometry

POSCAR file:
```
HoGaAs
1.0
0.000 3.320 3.320
3.320 0.000 3.320
3.320 3.320 0.000
Ho Ga As
1 1 1
Cartesian
0.000 0.000 0.000 Ho
4.979 4.979 4.979 Ga
3.320 3.320 3.320 As
```

Computed properties:
Magnetic moment: 0.001 μB/cell
Crystal system: cubic

---

Entry 7:
Material: CsFeTe2
Method: DFT, PBE
State: optimized geometry

POSCAR file:
```
CsFeTe2
1.0
-3.002 3.879 6.499
3.002 -3.879 6.499
3.002 3.879 -6.499
Cs Fe Te
2 2 4
Cartesian
0.000 0.000 2.216 Cs
0.000 0.000 10.781 Cs
1.503 3.879 0.000 Fe
1.499 0.000 6.499 Fe
3.002 1.835 0.000 Te
3.002 0.000 4.460 Te
0.000 3.879 2.038 Te
0.000 2.045 6.499 Te
```

Computed properties:
Magnetic moment: 6.005 μB/cell
Crystal system: orthorhombic

---

Entry 8:
Material: PuMg2Ni9
Method: DFT, PBE
State: optimized geometry

POSCAR file:
```
PuMg2Ni9
1.0
2.419 1.397 7.866
-2.419 1.397 7.866
0.000 -2.794 7.866
Pu Mg Ni
1 2 9
Cartesian
0.000 0.000 0.000 Pu
0.000 0.000 3.401 Mg
0.000 0.000 20.198 Mg
-1.219 -0.704 9.860 Ni
0.000 0.000 7.875 Ni
0.000 -1.407 13.738 Ni
-1.219 0.704 13.738 Ni
0.000 0.000 11.799 Ni
1.219 -0.704 9.860 Ni
0.000 1.407 9.860 Ni
0.000 0.000 15.724 Ni
1.219 0.704 13.738 Ni
```

Computed properties:
Magnetic moment: 0.420 μB/cell
Crystal system: trigonal

---

Entry 9:
Material: NbPtPb
Method: DFT, PBE
State: optimized geometry

POSCAR file:
```
NbPtPb
1.0
0.000 3.223 3.223
3.223 0.000 3.223
3.223 3.223 0.000
Nb Pt Pb
1 1 1
Cartesian
0.000 0.000 0.000 Nb
3.223 3.223 3.223 Pt
1.612 1.612 1.612 Pb
```

Computed properties:
Magnetic moment: 1.215 μB/cell
Crystal system: cubic

---

Entry 10:
Material: CoP3S6
Method: DFT, PBE
State: optimized geometry

POSCAR file:
```
CoP3S6
1.0
5.888 0.000 0.000
-2.944 5.100 0.000
0.000 0.000 12.492
Co P S
2 6 12
Cartesian
0.000 3.400 3.123 Co
2.944 1.700 9.369 Co
0.000 0.000 0.000 P
0.000 0.000 6.246 P
0.000 3.400 0.608 P
0.000 3.400 5.638 P
2.944 1.700 6.854 P
2.944 1.700 11.884 P
-0.846 1.763 4.562 S
-1.840 3.485 1.684 S
0.846 1.763 1.684 S
-0.994 4.950 4.562 S
1.950 0.149 7.930 S
1.104 1.614 10.808 S
1.840 3.485 4.562 S
0.994 4.950 1.684 S
3.938 0.149 10.808 S
2.098 3.336 7.930 S
4.784 1.614 7.930 S
3.790 3.336 10.808 S
```

Computed properties:
Magnetic moment: 0.325 μB/cell
Crystal system: hexagonal

---

In eV for the cell shown, the E_tot values for the records above are, in order, -47.2 -73.0 -55.4 -24.6 -42.4 -13.1 -34.5 -68.4 -18.1 -93.5.